## YScBi (PBE)

Data for a relaxed structure of YScBi.

The energy of formation comes out at -84 kJ/mol of formula units. As for the magnetic moment: 1.0 Bohr magnetons per cell. As for the total energy: -5.8504 eV per atom.

a = 9.2595 Å, b = 9.2595 Å, c = 9.2595 Å
α = 158.63°, β = 143.32°, γ = 42.85°
Positions (direct):
Y 0.1607 0.1607 0.0000
Y 0.8393 0.8393 0.0000
Sc 0.2389 0.5000 0.7389
Sc 0.7611 0.5000 0.2611
Bi 0.3449 0.3449 0.0000
Bi 0.6551 0.6551 0.0000


## Y4ScBi2 (PBE)

Data for a relaxed structure of Y4ScBi2.

The energy of formation comes out at 84 kJ/mol of formula units. As for the magnetic moment: 0.4 Bohr magnetons per cell. As for the total energy: -5.5834 eV per atom.

a = 9.1715 Å, b = 9.1715 Å, c = 9.1715 Å
α = 147.31°, β = 147.31°, γ = 46.91°
Positions (direct):
Y 0.0000 0.5000 0.5000
Y 0.1800 0.1800 0.0000
Y 0.5000 0.0000 0.5000
Y 0.8200 0.8200 0.0000
Sc 0.0000 0.0000 0.0000
Bi 0.3637 0.3637 0.0000
Bi 0.6363 0.6363 0.0000


## YScBi (PBE)

Data for a relaxed structure of YScBi.

The energy of formation comes out at -189 kJ/mol of formula units. As for the magnetic moment: 0.6 Bohr magnetons per cell. As for the total energy: -6.2105 eV per atom.

a = 4.4242 Å, b = 4.4242 Å, c = 8.3598 Å
α = 90.00°, β = 90.00°, γ = 90.00°
Positions (direct):
Y 0.2500 0.2500 0.1542
Y 0.7500 0.7500 0.8458
Sc 0.2500 0.7500 0.5000
Sc 0.7500 0.2500 0.5000
Bi 0.2500 0.2500 0.7687
Bi 0.7500 0.7500 0.2313


## YScBi2 (PBE)

Data for a relaxed structure of YScBi2.

The energy of formation comes out at -113 kJ/mol of formula units. As for the excess energy over the best structure of this formula in the dataset: 46.4 kJ/mol of atoms. As for the magnetic moment: 0.0 Bohr magnetons per cell. As for the total energy: -5.4329 eV per atom.

a = 8.5298 Å, b = 8.5298 Å, c = 8.5298 Å
α = 132.64°, β = 132.64°, γ = 69.22°
Positions (direct):
Y 0.0000 0.0000 0.0000
Y 0.7500 0.2500 0.5000
Sc 0.2500 0.7500 0.5000
Sc 0.5000 0.5000 0.0000
Bi 0.1462 0.6250 0.0212
Bi 0.3750 0.3962 0.5212
Bi 0.6038 0.1250 0.9788
Bi 0.8750 0.8538 0.4788


## Y5Sc3Bi8 (PBE)

Data for a relaxed structure of Y5Sc3Bi8.

The energy of formation comes out at -1233 kJ/mol of formula units. As for the magnetic moment: 0.0 Bohr magnetons per cell. As for the total energy: -5.9461 eV per atom.

a = 8.8089 Å, b = 8.8089 Å, c = 8.8089 Å
α = 60.01°, β = 60.01°, γ = 60.01°
Positions (direct):
Y 0.0000 0.0000 0.0000
Y 0.0000 0.5000 0.5000
Y 0.5000 0.0000 0.5000
Y 0.5000 0.5000 0.0000
Y 0.5000 0.5000 0.5000
Sc 0.0000 0.0000 0.5000
Sc 0.0000 0.5000 0.0000
Sc 0.5000 0.0000 0.0000
Bi 0.2400 0.7500 0.7500
Bi 0.2450 0.2450 0.2450
Bi 0.2500 0.2500 0.7600
Bi 0.2500 0.7600 0.2500
Bi 0.7500 0.2400 0.7500
Bi 0.7500 0.7500 0.2400
Bi 0.7550 0.7550 0.7550
Bi 0.7600 0.2500 0.2500


## YSc2Bi2 (PBE)

Data for a relaxed structure of YSc2Bi2.

The energy of formation comes out at -178 kJ/mol of formula units. As for the excess energy over the best structure of this formula in the dataset: 20.3 kJ/mol of atoms. As for the magnetic moment: 4.8 Bohr magnetons per cell. As for the total energy: -5.7473 eV per atom.

a = 8.3860 Å, b = 8.3860 Å, c = 3.8296 Å
α = 90.00°, β = 90.00°, γ = 90.00°
Positions (direct):
Y 0.0000 0.0000 0.0000
Y 0.5000 0.5000 0.0000
Sc 0.1262 0.3738 0.0000
Sc 0.3738 0.8738 0.0000
Sc 0.6262 0.1262 0.0000
Sc 0.8738 0.6262 0.0000
Bi 0.1729 0.6729 0.5000
Bi 0.3271 0.1729 0.5000
Bi 0.6729 0.8271 0.5000
Bi 0.8271 0.3271 0.5000


## YScBi (PBE)

Data for a relaxed structure of YScBi.

The energy of formation comes out at -126 kJ/mol of formula units. As for the magnetic moment: 1.0 Bohr magnetons per cell. As for the total energy: -5.9957 eV per atom.

a = 5.9628 Å, b = 5.9628 Å, c = 5.9628 Å
α = 141.45°, β = 141.45°, γ = 55.66°
Positions (direct):
Y 0.0000 0.0000 0.0000
Sc 0.6840 0.6840 0.0000
Bi 0.3262 0.3262 0.0000


## Y2ScBi (PBE)

Data for a relaxed structure of Y2ScBi.

The energy of formation comes out at 15 kJ/mol of formula units. As for the magnetic moment: 0.0 Bohr magnetons per cell. As for the total energy: -5.7459 eV per atom.

a = 11.8960 Å, b = 11.8960 Å, c = 11.8960 Å
α = 16.92°, β = 16.92°, γ = 16.92°
Positions (direct):
Y 0.0901 0.0901 0.0901
Y 0.9099 0.9099 0.9099
Sc 0.5000 0.5000 0.5000
Bi 0.0000 0.0000 0.0000


## YSc3Bi4 (PBE)

Data for a relaxed structure of YSc3Bi4.

The energy of formation comes out at -549 kJ/mol of formula units. As for the magnetic moment: 0.0 Bohr magnetons per cell. As for the total energy: -5.8341 eV per atom.

a = 7.4892 Å, b = 7.4892 Å, c = 4.3223 Å
α = 90.00°, β = 90.00°, γ = 109.45°
Positions (direct):
Y 0.0000 0.0000 0.0000
Sc 0.0000 0.5000 0.5000
Sc 0.5000 0.0000 0.5000
Sc 0.5000 0.5000 0.0000
Bi 0.2552 0.7448 0.0000
Bi 0.2603 0.2603 0.5000
Bi 0.7397 0.7397 0.5000
Bi 0.7448 0.2552 0.0000


## Y2Sc2Bi (PBE)

Data for a relaxed structure of Y2Sc2Bi.

The energy of formation comes out at -95 kJ/mol of formula units. As for the magnetic moment: 0.0 Bohr magnetons per cell. As for the total energy: -6.0922 eV per atom.

a = 7.7654 Å, b = 7.7654 Å, c = 4.7510 Å
α = 90.00°, β = 90.00°, γ = 90.00°
Positions (direct):
Y 0.1539 0.3461 0.0000
Y 0.3461 0.8461 0.0000
Y 0.6539 0.1539 0.0000
Y 0.8461 0.6539 0.0000
Sc 0.1400 0.6400 0.5000
Sc 0.3600 0.1400 0.5000
Sc 0.6400 0.8600 0.5000
Sc 0.8600 0.3600 0.5000
Bi 0.0000 0.0000 0.5000
Bi 0.5000 0.5000 0.5000


## YSc2Bi2 (PBE)

Data for a relaxed structure of YSc2Bi2.

The energy of formation comes out at -207 kJ/mol of formula units. As for the excess energy over the best structure of this formula in the dataset: 14.5 kJ/mol of atoms. As for the magnetic moment: 0.9 Bohr magnetons per cell. As for the total energy: -5.8077 eV per atom.

a = 7.9739 Å, b = 7.9739 Å, c = 7.9739 Å
α = 148.24°, β = 148.24°, γ = 45.53°
Positions (direct):
Y 0.0000 0.0000 0.0000
Sc 0.2500 0.7500 0.5000
Sc 0.7500 0.2500 0.5000
Bi 0.3907 0.3907 0.0000
Bi 0.6093 0.6093 0.0000


## YSc2Bi2 (PBE)

Data for a relaxed structure of YSc2Bi2.

The energy of formation comes out at -280 kJ/mol of formula units. As for the excess energy over the best structure of this formula in the dataset: 0.0 kJ/mol of atoms. As for the magnetic moment: 1.6 Bohr magnetons per cell. As for the total energy: -5.9581 eV per atom.

a = 8.2037 Å, b = 8.2037 Å, c = 4.0240 Å
α = 90.00°, β = 90.00°, γ = 90.00°
Positions (direct):
Y 0.0000 0.0000 0.0000
Y 0.5000 0.5000 0.0000
Sc 0.1487 0.3513 0.5000
Sc 0.3513 0.8513 0.5000
Sc 0.6487 0.1487 0.5000
Sc 0.8513 0.6487 0.5000
Bi 0.1495 0.6495 0.0000
Bi 0.3505 0.1495 0.0000
Bi 0.6495 0.8505 0.0000
Bi 0.8505 0.3505 0.0000


## YScBi2 (PBE)

Data for a relaxed structure of YScBi2.

The energy of formation comes out at -195 kJ/mol of formula units. As for the excess energy over the best structure of this formula in the dataset: 26.0 kJ/mol of atoms. As for the magnetic moment: 0.0 Bohr magnetons per cell. As for the total energy: -5.6441 eV per atom.

a = 5.3968 Å, b = 5.3968 Å, c = 5.3968 Å
α = 60.00°, β = 60.00°, γ = 60.00°
Positions (direct):
Y 0.0000 0.0000 0.0000
Sc 0.5000 0.5000 0.5000
Bi 0.2500 0.2500 0.2500
Bi 0.7500 0.7500 0.7500


## YSc3Bi (PBE)

Data for a relaxed structure of YSc3Bi.

The energy of formation comes out at 388 kJ/mol of formula units. As for the excess energy over the best structure of this formula in the dataset: 46.2 kJ/mol of atoms. As for the magnetic moment: 0.0 Bohr magnetons per cell. As for the total energy: -5.0631 eV per atom.

a = 5.2959 Å, b = 5.2959 Å, c = 5.2959 Å
α = 90.00°, β = 90.00°, γ = 90.00°
Positions (direct):
Y 0.0000 0.0000 0.0000
Sc 0.0000 0.0000 0.5000
Sc 0.0000 0.5000 0.0000
Sc 0.5000 0.0000 0.0000
Bi 0.5000 0.5000 0.5000


## YSc2Bi (PBE)

Data for a relaxed structure of YSc2Bi.

The energy of formation comes out at -111 kJ/mol of formula units. As for the magnetic moment: 0.1 Bohr magnetons per cell. As for the total energy: -6.0386 eV per atom.

a = 3.8885 Å, b = 3.8885 Å, c = 6.9926 Å
α = 90.00°, β = 90.00°, γ = 90.00°
Positions (direct):
Y 0.0000 0.0000 0.0000
Sc 0.5000 0.5000 0.2728
Sc 0.5000 0.5000 0.7272
Bi 0.0000 0.0000 0.5000


## YSc2Bi (PBE)

Data for a relaxed structure of YSc2Bi.

The energy of formation comes out at -51 kJ/mol of formula units. As for the magnetic moment: 0.1 Bohr magnetons per cell. As for the total energy: -5.8835 eV per atom.

a = 10.4285 Å, b = 10.4285 Å, c = 10.4285 Å
α = 19.50°, β = 19.50°, γ = 19.50°
Positions (direct):
Y 0.0000 0.0000 0.0000
Sc 0.2461 0.2461 0.2461
Sc 0.4201 0.4201 0.4201
Bi 0.8333 0.8333 0.8333


## Y2ScBi (PBE)

Data for a relaxed structure of Y2ScBi.

The energy of formation comes out at -122 kJ/mol of formula units. As for the magnetic moment: 1.7 Bohr magnetons per cell. As for the total energy: -6.1007 eV per atom.

a = 4.8780 Å, b = 4.8780 Å, c = 4.6641 Å
α = 90.00°, β = 90.00°, γ = 90.00°
Positions (direct):
Y 0.0000 0.5000 0.0000
Y 0.5000 0.0000 0.0000
Sc 0.0000 0.0000 0.5000
Bi 0.5000 0.5000 0.5000


## YScBi2 (PBE)

Data for a relaxed structure of YScBi2.

The energy of formation comes out at -261 kJ/mol of formula units. As for the excess energy over the best structure of this formula in the dataset: 9.5 kJ/mol of atoms. As for the magnetic moment: 0.0 Bohr magnetons per cell. As for the total energy: -5.8150 eV per atom.

a = 7.8597 Å, b = 7.8597 Å, c = 7.8597 Å
α = 32.08°, β = 32.08°, γ = 32.08°
Positions (direct):
Y 0.0000 0.0000 0.0000
Sc 0.8300 0.8300 0.8300
Bi 0.4177 0.4177 0.4177
Bi 0.5789 0.5789 0.5789


## Y3ScBi2 (PBE)

Data for a relaxed structure of Y3ScBi2.

The energy of formation comes out at -371 kJ/mol of formula units. As for the magnetic moment: 0.7 Bohr magnetons per cell. As for the total energy: -6.2218 eV per atom.

a = 4.4972 Å, b = 4.4972 Å, c = 8.5170 Å
α = 90.00°, β = 90.00°, γ = 90.00°
Positions (direct):
Y 0.0000 0.0000 0.0000
Y 0.0000 0.5000 0.6536
Y 0.5000 0.0000 0.3464
Sc 0.5000 0.5000 0.0000
Bi 0.0000 0.5000 0.2771
Bi 0.5000 0.0000 0.7229


## YScBi2 (PBE)

Data for a relaxed structure of YScBi2.

The energy of formation comes out at -297 kJ/mol of formula units. As for the excess energy over the best structure of this formula in the dataset: 0.4 kJ/mol of atoms. As for the magnetic moment: 0.0 Bohr magnetons per cell. As for the total energy: -5.9091 eV per atom.

a = 4.3704 Å, b = 6.2109 Å, c = 8.7425 Å
α = 90.00°, β = 90.00°, γ = 90.00°
Positions (direct):
Y 0.2500 0.2500 0.1271
Y 0.7500 0.7500 0.8729
Sc 0.2500 0.2500 0.6249
Sc 0.7500 0.7500 0.3751
Bi 0.2500 0.7500 0.1352
Bi 0.2500 0.7500 0.6130
Bi 0.7500 0.2500 0.3870
Bi 0.7500 0.2500 0.8648


## Y3Sc5Bi8 (PBE)

Data for a relaxed structure of Y3Sc5Bi8.

The energy of formation comes out at -1143 kJ/mol of formula units. As for the magnetic moment: 0.0 Bohr magnetons per cell. As for the total energy: -5.8715 eV per atom.

a = 8.6998 Å, b = 8.6998 Å, c = 8.6998 Å
α = 60.02°, β = 60.02°, γ = 60.02°
Positions (direct):
Y 0.0000 0.5000 0.5000
Y 0.5000 0.0000 0.5000
Y 0.5000 0.5000 0.0000
Sc 0.0000 0.0000 0.0000
Sc 0.0000 0.0000 0.5000
Sc 0.0000 0.5000 0.0000
Sc 0.5000 0.0000 0.0000
Sc 0.5000 0.5000 0.5000
Bi 0.2398 0.7500 0.7500
Bi 0.2449 0.2449 0.2449
Bi 0.2500 0.2500 0.7602
Bi 0.2500 0.7602 0.2500
Bi 0.7500 0.2398 0.7500
Bi 0.7500 0.7500 0.2398
Bi 0.7551 0.7551 0.7551
Bi 0.7602 0.2500 0.2500


## Y2Sc3Bi2 (PBE)

Data for a relaxed structure of Y2Sc3Bi2.

The energy of formation comes out at -312 kJ/mol of formula units. As for the magnetic moment: 0.0 Bohr magnetons per cell. As for the total energy: -6.1309 eV per atom.

a = 6.2520 Å, b = 6.2520 Å, c = 8.2545 Å
α = 109.48°, β = 109.48°, γ = 39.74°
Positions (direct):
Y 0.1209 0.1209 0.2671
Y 0.8791 0.8791 0.7329
Sc 0.3768 0.3768 0.0583
Sc 0.5000 0.5000 0.5000
Sc 0.6232 0.6232 0.9417
Bi 0.1688 0.1688 0.7001
Bi 0.8312 0.8312 0.2999


## Y3Sc4Bi4 (PBE)

Data for a relaxed structure of Y3Sc4Bi4.

The energy of formation comes out at -602 kJ/mol of formula units. As for the magnetic moment: 0.0 Bohr magnetons per cell. As for the total energy: -6.0439 eV per atom.

a = 9.3620 Å, b = 9.3620 Å, c = 9.3620 Å
α = 153.93°, β = 121.55°, γ = 65.07°
Positions (direct):
Y 0.0000 0.0000 0.0000
Y 0.3835 0.8835 0.5000
Y 0.6165 0.1165 0.5000
Sc 0.0266 0.3228 0.7038
Sc 0.3810 0.6772 0.7038
Sc 0.6190 0.3228 0.2962
Sc 0.9734 0.6772 0.2962
Bi 0.2288 0.2288 0.0000
Bi 0.2909 0.5000 0.7909
Bi 0.7091 0.5000 0.2091
Bi 0.7712 0.7712 0.0000


## Y5ScBi4 (PBE)

Data for a relaxed structure of Y5ScBi4.

The energy of formation comes out at -474 kJ/mol of formula units. As for the magnetic moment: 0.0 Bohr magnetons per cell. As for the total energy: -5.9091 eV per atom.

a = 9.6424 Å, b = 9.6424 Å, c = 8.4018 Å
α = 105.39°, β = 105.39°, γ = 26.04°
Positions (direct):
Y 0.0000 0.0000 0.0000
Y 0.3188 0.3188 0.1470
Y 0.3341 0.3341 0.6921
Y 0.6659 0.6659 0.3079
Y 0.6812 0.6812 0.8530
Sc 0.0000 0.0000 0.5000
Bi 0.1642 0.1642 0.5760
Bi 0.4921 0.4921 0.2522
Bi 0.5079 0.5079 0.7478
Bi 0.8358 0.8358 0.4240


## Y2ScBi (PBE)

Data for a relaxed structure of Y2ScBi.

The energy of formation comes out at -142 kJ/mol of formula units. As for the magnetic moment: 0.0 Bohr magnetons per cell. As for the total energy: -6.1532 eV per atom.

a = 6.4250 Å, b = 6.4250 Å, c = 10.0371 Å
α = 114.28°, β = 114.28°, γ = 38.93°
Positions (direct):
Y 0.1109 0.1109 0.1765
Y 0.1326 0.1326 0.6645
Y 0.8674 0.8674 0.3355
Y 0.8891 0.8891 0.8235
Sc 0.3542 0.3542 0.0653
Sc 0.6458 0.6458 0.9347
Bi 0.4026 0.4026 0.5988
Bi 0.5974 0.5974 0.4012